Record 1
DFT (GGA-PBE) results for a relaxed Ti2Nb2W crystal.

```
Ti2Nb2W
1.0
4.5690 0.0000 0.0000
0.0000 4.5690 0.0000
0.0000 0.0000 4.8780
Nb Ti W
2 2 1
direct
0.0000 0.0000 0.5000
0.0000 0.0000 0.0000
0.0000 0.5000 0.0000
0.5000 0.0000 0.0000
0.5000 0.5000 0.5000
```

- E_form: 7.6 eV per formula unit

=====

Record 2
DFT (GGA-PBE) results for a relaxed Cu2AgCl crystal.

```
Cu2AgCl
1.0
3.2198 0.0000 0.0000
0.0000 3.2366 -0.2725
0.0000 0.5510 6.5714
Cu Ag Cl
2 1 1
direct
0.5000 0.2505 0.2228
0.0000 0.7503 0.0490
0.0000 0.7507 0.4438
0.5000 0.7485 0.7844
```

- Raw formation energy: -7 meV/atom

=====

Record 3
DFT (GGA-PBE) results for a relaxed Y2MgScH crystal.

```
Y2MgScH
1.0
-1.8310 -4.5152 0.3299
2.7304 -1.3853 -3.8046
3.3987 -1.1689 2.8647
Mg Y Sc H
1 2 1 1
direct
0.0000 0.0000 0.5000
0.5000 0.0000 0.0000
0.0000 0.5000 0.0000
0.5000 0.5000 0.5000
0.0000 0.0000 0.0000
```

- Calculated total energy: -4.96 eV per atom

=====

Record 4
DFT (GGA-PBE) results for a relaxed Ta2CrHgBr crystal.

```
Ta2CrHgBr
1.0
-2.7366 -3.8130 -0.2078
3.9623 -2.9768 2.4417
-1.7971 1.0604 4.2091
Ta Hg Cr Br
2 1 1 1
direct
0.5000 0.0000 0.0000
0.0000 0.0000 0.5000
0.0000 0.5000 0.0000
0.5000 0.5000 0.5000
0.0000 0.0000 0.0000
```

- Raw formation energy: 1737 meV/atom

=====

Record 5
DFT (GGA-PBE) results for a relaxed Pm2Ga6CuAu crystal.

```
Pm2Ga6CuAu
1.0
-0.2367 -3.2648 5.4107
0.5026 -6.3032 -0.0858
11.8096 -2.2692 2.8429
Ga Pm Cu Au
12 4 2 2
direct
0.7765 0.7765 0.0982
0.7765 0.3487 0.0982
0.6691 0.0698 0.5921
0.6513 0.2235 0.9018
0.3309 0.9302 0.4079
0.2235 0.6513 0.9018
0.9302 0.3309 0.4079
0.6691 0.6691 0.5921
0.2235 0.2235 0.9018
0.3309 0.3309 0.4079
0.0698 0.6691 0.5921
0.3487 0.7765 0.0982
0.2819 0.2819 0.1543
0.1065 0.1065 0.6805
0.7181 0.7181 0.8457
0.8935 0.8935 0.3195
0.0000 0.0000 0.0000
0.5000 0.5000 0.5000
0.5733 0.5733 0.2800
0.4267 0.4267 0.7200
```

- E_form: -3.5 eV per formula unit

=====

Record 6
DFT (GGA-PBE) results for a relaxed LiZr2Pb crystal.

```
LiZr2Pb
1.0
5.4105 0.0112 0.0000
1.8378 5.0889 0.0000
-3.6242 -2.5500 3.1043
Zr Pb Li
2 1 1
direct
0.5000 0.5000 0.0000
0.0000 0.0000 0.0000
0.7500 0.2500 0.5000
0.2500 0.7500 0.5000
```

- E_form: -0.3 eV per formula unit